(1)
The following is a GGA-PBE calculation of a relaxed structure of CePr2InN, from the Alexandria database.

Unit cell a=4.8434 b=5.1268 c=5.1268 alpha=90.00 beta=90.00 gamma=90.00
Last column: nearest neighbours and their distance in Å.
Fractional coordinates of all 5 atoms:
Ce: 0.5000 0.0000 0.0000  2 N 2.42
Pr: 0.0000 0.0000 0.5000  2 N 2.56
Pr: 0.0000 0.5000 0.0000  2 N 2.56
In: 0.5000 0.5000 0.5000  8 Pr 3.53, 4 Ce 3.63
N: 0.0000 0.0000 0.0000  2 Ce 2.42, 4 Pr 2.56

Computed properties:
Formation energy (no corrections) = -0.812 eV/atom
N(E_F) = 7.16 states/eV/cell
Symmetry = P4/mmm

(2)
The following is a GGA-PBE calculation of a relaxed structure of Ce2PrInN, from the Alexandria database.

Unit cell a=5.1597 b=4.8912 c=4.8912 alpha=90.00 beta=90.00 gamma=90.00
Last column: nearest neighbours and their distance in Å.
Fractional coordinates of all 5 atoms:
Ce: 0.0000 0.0000 0.5000  2 N 2.45
Ce: 0.0000 0.5000 0.0000  2 N 2.45
Pr: 0.5000 0.0000 0.0000  2 N 2.58
In: 0.5000 0.5000 0.5000  4 Pr 3.46, 8 Ce 3.55
N: 0.0000 0.0000 0.0000  4 Ce 2.45, 2 Pr 2.58

Computed properties:
Formation energy (no corrections) = -0.809 eV/atom
N(E_F) = 9.49 states/eV/cell
Symmetry = P4/mmm

(3)
The following is a GGA-PBE calculation of a relaxed structure of Ce2PrInN2, from the Alexandria database.

Unit cell a=4.6247 b=4.6247 c=6.8323 alpha=90.00 beta=90.00 gamma=90.00
Last column: nearest neighbours and their distance in Å.
Fractional coordinates of all 6 atoms:
Ce: 0.5000 0.5000 0.7833  4 N 2.75, 1 Ce 2.96
Ce: 0.5000 0.5000 0.2167  4 N 2.75, 1 Ce 2.96
Pr: 0.0000 0.0000 0.0000  4 N 2.31
In: 0.0000 0.0000 0.5000  2 Pr 3.42, 8 Ce 3.80
N: 0.5000 0.0000 0.0000  2 Pr 2.31
N: 0.0000 0.5000 0.0000  2 Pr 2.31

Computed properties:
Formation energy (no corrections) = -0.537 eV/atom
N(E_F) = 11.75 states/eV/cell
Symmetry = P4/mmm

(4)
The following is a GGA-PBE calculation of a relaxed structure of Ce2PuInN5, from the Alexandria database.

Unit cell a=3.5164 b=7.2055 c=11.2448 alpha=90.00 beta=90.00 gamma=104.12
Last column: nearest neighbours and their distance in Å.
Fractional coordinates of all 18 atoms:
Ce: 0.8727 0.7453 0.7465  6 N 2.36-2.54
Ce: 0.1307 0.2613 0.7195  3 N 2.29-2.37
Ce: 0.1273 0.2547 0.2465  6 N 2.36-2.54
Ce: 0.8693 0.7387 0.2195  3 N 2.29-2.37
Pu: 0.7678 0.5357 0.4972  6 N 2.15-2.40
Pu: 0.2322 0.4643 0.9972  6 N 2.15-2.40
In: 0.5047 0.0095 0.9772  4 N 2.13-2.18
In: 0.4953 0.9905 0.4772  4 N 2.13-2.18
N: 0.3712 0.7424 0.0780  1 Pu 2.15, 1 In 2.18, 2 Ce 2.37
N: 0.7271 0.4543 0.8526  1 Ce 2.36, 2 Pu 2.40
N: 0.4813 0.9626 0.7856  1 In 2.18, 2 Ce 2.36
N: 0.2787 0.5573 0.6331  3 Ce 2.29-2.54, 2 Pu 2.33
N: 0.9220 0.8440 0.5342  2 In 2.13, 1 Pu 2.19
N: 0.6288 0.2576 0.5780  1 Pu 2.15, 1 In 2.18, 2 Ce 2.37
N: 0.2729 0.5457 0.3526  1 Ce 2.36, 2 Pu 2.40
N: 0.5187 0.0374 0.2856  1 In 2.18, 2 Ce 2.36
N: 0.7213 0.4427 0.1331  3 Ce 2.29-2.54, 2 Pu 2.33
N: 0.0780 0.1560 0.0342  2 In 2.13, 1 Pu 2.19

Computed properties:
Formation energy (no corrections) = -0.876 eV/atom
N(E_F) = 14.26 states/eV/cell
Symmetry = Cmc2_1

(5)
The following is a GGA-PBE calculation of a relaxed structure of Ce2PuInN, from the Alexandria database.

Unit cell a=4.7673 b=4.9564 c=4.9564 alpha=90.00 beta=90.00 gamma=90.00
Last column: nearest neighbours and their distance in Å.
Fractional coordinates of all 5 atoms:
Ce: 0.0000 0.0000 0.5000  2 N 2.48
Ce: 0.0000 0.5000 0.0000  2 N 2.48
Pu: 0.5000 0.0000 0.0000  2 N 2.38
In: 0.5000 0.5000 0.5000  8 Ce 3.44, 4 Pu 3.50
N: 0.0000 0.0000 0.0000  2 Pu 2.38, 4 Ce 2.48

Computed properties:
Formation energy (no corrections) = -0.738 eV/atom
N(E_F) = 9.08 states/eV/cell
Symmetry = P4/mmm

(6)
The following is a GGA-PBE calculation of a relaxed structure of Ce2InS2N2, from the Alexandria database.

Unit cell a=3.8524 b=6.1734 c=6.6356 alpha=65.80 beta=73.13 gamma=71.82
Last column: nearest neighbours and their distance in Å.
Fractional coordinates of all 7 atoms:
Ce: 0.1898 0.3629 0.2576  3 N 2.27-2.33
Ce: 0.8102 0.6371 0.7424  3 N 2.27-2.33
In: 0.0000 0.0000 0.0000  2 N 2.11
S: 0.5638 0.2050 0.6675  2 In 2.80, 2 Ce 3.11
S: 0.4362 0.7950 0.3325  2 In 2.80, 2 Ce 3.11
N: 0.2016 0.6837 0.9132  1 In 2.11, 3 Ce 2.27-2.33
N: 0.7984 0.3163 0.0868  1 In 2.11, 3 Ce 2.27-2.33

Computed properties:
Formation energy (no corrections) = -1.257 eV/atom
N(E_F) = 8.70 states/eV/cell
Symmetry = C2/m

(7)
The following is a GGA-PBE calculation of a relaxed structure of Ce2InSe2N2, from the Alexandria database.

Unit cell a=3.9285 b=6.2171 c=6.8416 alpha=67.59 beta=73.32 gamma=71.58
Last column: nearest neighbours and their distance in Å.
Fractional coordinates of all 7 atoms:
Ce: 0.1917 0.3733 0.2433  3 N 2.29-2.32
Ce: 0.8083 0.6267 0.7567  3 N 2.29-2.32
In: 0.0000 0.0000 0.0000  2 N 2.13
Se: 0.5639 0.2068 0.6654  2 In 2.91
Se: 0.4361 0.7932 0.3346  2 In 2.91
N: 0.2026 0.6794 0.9154  1 In 2.13, 3 Ce 2.29-2.32
N: 0.7974 0.3206 0.0846  1 In 2.13, 3 Ce 2.29-2.32

Computed properties:
Formation energy (no corrections) = -1.232 eV/atom
N(E_F) = 8.81 states/eV/cell
Symmetry = C2/m

(8)
The following is a GGA-PBE calculation of a relaxed structure of Ce2SmInN, from the Alexandria database.

Unit cell a=5.0378 b=4.8883 c=4.8883 alpha=90.00 beta=90.00 gamma=90.00
Last column: nearest neighbours and their distance in Å.
Fractional coordinates of all 5 atoms:
Ce: 0.0000 0.0000 0.5000  2 N 2.44
Ce: 0.0000 0.5000 0.0000  2 N 2.44
Sm: 0.5000 0.0000 0.0000  2 N 2.52
In: 0.5000 0.5000 0.5000  4 Sm 3.46, 8 Ce 3.51
N: 0.0000 0.0000 0.0000  4 Ce 2.44, 2 Sm 2.52

Computed properties:
Formation energy (no corrections) = -0.832 eV/atom
N(E_F) = 9.22 states/eV/cell
Symmetry = P4/mmm